1.
4
Lattice="-3.0288 2.3685 -1.1689 -2.6421 -2.6980 1.3791 0.0279 1.8024 3.5797" Properties=species:S:1:pos:R:3 comment="MgAgPt2 (PBE, optimized geometry)" crystal_system=tetragonal volume_a3_per_cell=64.8 m_tot_mub_per_atom=0.000 space_group="P4/mmm, No. 123" formation_enthalpy_0k_ev_per_fu=-1.86 n_ef_per_ev_atom=0.40 pbc="T T T"
Ag -1.5004 2.0855 1.2054
Pt -2.8355 -0.1647 0.1051
Mg -1.3071 -0.4478 2.4794
Pt 0.0000 0.0000 0.0000


2.
4
Lattice="5.4364 0.0000 0.0000 2.7182 4.7081 0.0000 2.7182 1.5694 4.4388" Properties=species:S:1:pos:R:3 comment="BaTlCr2 (PBE, optimized geometry)" crystal_system=cubic volume_a3_per_cell=113.6 m_tot_mub_per_atom=2.229 space_group="F-43m, No. 216" formation_enthalpy_0k_ev_per_fu=3.13 polymorph_energy_mev_per_atom=393 n_ef_per_ev_atom=0.56 pbc="T T T"
Cr 2.7182 1.5694 1.1097
Ba 5.4364 3.1387 2.2194
Tl 8.1546 4.7081 3.3291
Cr 0.0000 0.0000 0.0000


3.
4
Lattice="6.4445 -0.0056 -0.0105 3.6068 5.3407 0.0105 -4.5532 -3.5576 2.8536" Properties=species:S:1:pos:R:3 comment="La2AlRu (PBE, optimized geometry)" crystal_system=orthorhombic volume_a3_per_cell=98.4 m_tot_mub_per_atom=0.000 space_group="Imm2, No. 44" formation_enthalpy_0k_ev_per_fu=-1.07 n_ef_per_ev_atom=1.00 pbc="T T T"
La 9.9824 5.2985 0.0000
Al 2.8350 -0.7788 1.4215
Ru 5.2979 2.8120 0.0000
La 2.4599 2.4483 1.4321


4.
8
Lattice="7.8744 0.0108 -0.0012 0.0109 7.8719 -0.0011 -3.9430 -3.9417 3.7664" Properties=species:S:1:pos:R:3 comment="Th5In2Ru (PBE, optimized geometry)" crystal_system=monoclinic volume_a3_per_cell=233.4 m_tot_mub_per_atom=0.000 space_group="Cm, No. 8" formation_enthalpy_0k_ev_per_fu=-0.75 n_ef_per_ev_atom=1.26 pbc="T T T"
Th 1.9836 -2.0328 3.7544
In 3.9250 -0.0477 1.8514
Th -2.0336 1.9826 3.7546
Ru 0.0089 0.0088 0.6887
Th 2.0158 2.0150 3.7302
Th 1.9512 1.9510 0.0110
Th 4.0235 4.0216 1.5011
In -0.0480 3.9238 1.8522


5.
14
Lattice="6.9265 -0.1015 0.1759 -2.4035 6.4970 -0.1759 -2.1196 -3.2981 5.7138" Properties=species:S:1:pos:R:3 comment="LaTc2Ge4 (PBE, optimized geometry)" crystal_system=tetragonal volume_a3_per_cell=255.5 m_tot_mub_per_atom=0.000 space_group="I-42d, No. 122" formation_enthalpy_0k_ev_per_fu=-1.54 n_ef_per_ev_atom=0.75 pbc="T T T"
Ge -1.8190 4.7154 2.3012
Ge 1.0265 3.2307 2.9322
Ge 2.9325 -1.2334 4.6876
Tc -0.2065 3.3811 0.6483
La 3.4633 2.3478 1.4724
Ge -0.7963 1.4036 2.4987
Ge -0.0332 1.3917 5.6795
Ge -0.5308 -0.9928 4.7092
La 0.0000 0.0000 0.0000
Tc 1.4082 0.5661 3.5931
Ge 2.6670 -0.5180 1.5068
Tc -1.2663 3.2941 4.4068
Ge -2.8788 1.1955 4.0782
Tc 4.8715 -1.0467 2.7795


6.
3
Lattice="-4.4031 0.4323 -2.1601 -4.0831 -1.2121 2.4695 -3.1257 3.5113 1.4632" Properties=species:S:1:pos:R:3 comment="BaMgP (PBE, optimized geometry)" crystal_system=cubic volume_a3_per_cell=84.4 m_tot_mub_per_atom=0.000 space_group="F-43m, No. 216" formation_enthalpy_0k_ev_per_fu=-0.50 polymorph_energy_mev_per_atom=586 n_ef_per_ev_atom=0.50 pbc="T T T"
Mg -8.7089 2.0486 1.3295
Ba -5.8059 1.3657 0.8863
P 0.0000 0.0000 0.0000


7.
4
Lattice="4.7761 -0.0028 -0.0010 3.6755 3.0500 -0.0010 0.0012 0.0004 4.1961" Properties=species:S:1:pos:R:3 comment="ScMoP2 (PBE, optimized geometry)" crystal_system=orthorhombic volume_a3_per_cell=61.2 m_tot_mub_per_atom=0.000 space_group="Amm2, No. 38" formation_enthalpy_0k_ev_per_fu=-2.76 polymorph_energy_mev_per_atom=185 n_ef_per_ev_atom=0.62 pbc="T T T"
P 6.6368 2.3929 2.6211
P 8.1221 2.9284 0.5224
Mo 2.0645 0.7443 0.5243
Sc 4.3073 1.5530 2.6215


8.
5
Lattice="-1.7131 -1.6530 4.8600 4.9848 -1.7597 1.1586 1.2264 4.8434 2.0796" Properties=species:S:1:pos:R:3 comment="AcCrBi3 (PBE, optimized geometry)" crystal_system=cubic volume_a3_per_cell=158.5 m_tot_mub_per_atom=0.623 space_group="Pm-3m, No. 221" formation_enthalpy_0k_ev_per_fu=-0.04 n_ef_per_ev_atom=1.12 pbc="T T T"
Bi -0.8566 -0.8265 2.4300
Bi 0.6132 2.4217 1.0398
Cr 0.0000 0.0000 0.0000
Ac 2.2490 0.7154 4.0491
Bi 2.4924 -0.8798 0.5793


9.
4
Lattice="-1.4426 5.9197 6.3021 -2.0996 3.2356 7.8717 0.9068 4.2347 7.6214" Properties=species:S:1:pos:R:3 comment="ZrReAs2 (PBE, optimized geometry)" crystal_system=trigonal volume_a3_per_cell=75.0 m_tot_mub_per_atom=0.000 space_group="R3m, No. 160" formation_enthalpy_0k_ev_per_fu=-0.09 polymorph_energy_mev_per_atom=382 n_ef_per_ev_atom=0.51 pbc="T T T"
Zr -1.9809 10.0648 16.3826
As -0.6322 3.2124 5.2288
As -0.0060 0.0306 0.0498
Re -1.3339 6.7773 11.0316


10.
5
Lattice="4.7849 0.0000 0.0000 0.0000 4.7849 0.0000 0.0000 0.0000 4.7849" Properties=species:S:1:pos:R:3 comment="SrMo3As (PBE, optimized geometry)" crystal_system=cubic volume_a3_per_cell=109.5 m_tot_mub_per_atom=0.000 space_group="Pm-3m, No. 221" formation_enthalpy_0k_ev_per_fu=4.95 polymorph_energy_mev_per_atom=0 n_ef_per_ev_atom=1.37 pbc="T T T"
As 0.0000 0.0000 0.0000
Mo 0.0000 2.3924 0.0000
Sr 2.3924 2.3924 2.3924
Mo 0.0000 0.0000 2.3924
Mo 2.3924 0.0000 0.0000


11.
8
Lattice="-4.4464 1.7367 -3.6860 -1.5428 -5.7802 -0.7630 -0.6838 2.3947 6.8374" Properties=species:S:1:pos:R:3 comment="BeInSn2As4 (PBE, optimized geometry)" crystal_system=orthorhombic volume_a3_per_cell=215.0 m_tot_mub_per_atom=0.000 space_group="Fmm2, No. 42" formation_enthalpy_0k_ev_per_fu=-0.78 n_ef_per_ev_atom=0.44 pbc="T T T"
Sn -4.0677 1.0553 0.4701
As -3.1571 -3.6128 -0.5597
Sn -2.6159 -2.7031 1.9316
In -0.0027 0.0003 0.0034
As -4.1948 -0.6086 2.6017
As -1.5319 1.1892 4.5798
As -4.4496 -0.2667 -1.8608
Be -2.9959 -2.0216 -2.2229


12.
4
Lattice="7.4392 0.0020 0.0012 6.1942 4.1200 0.0012 6.1942 1.8728 3.6698" Properties=species:S:1:pos:R:3 comment="KTlP2 (PBE, optimized geometry)" crystal_system=trigonal volume_a3_per_cell=112.4 m_tot_mub_per_atom=0.000 space_group="R3m, No. 160" formation_enthalpy_0k_ev_per_fu=0.09 polymorph_energy_mev_per_atom=201 n_ef_per_ev_atom=0.30 pbc="T T T"
P 1.0651 0.3220 0.1973
Tl 9.2772 2.8049 1.7182
P 14.0099 4.2358 2.5947
K 5.3892 1.6294 0.9981


13.
4
Lattice="-2.7311 3.5116 3.3651 -1.9630 0.9473 5.1345 2.7361 2.6567 2.6625" Properties=species:S:1:pos:R:3 comment="Sc2MoOs (PBE, optimized geometry)" crystal_system=orthorhombic volume_a3_per_cell=71.8 m_tot_mub_per_atom=0.000 space_group="Imm2, No. 44" formation_enthalpy_0k_ev_per_fu=-0.63 n_ef_per_ev_atom=0.96 pbc="T T T"
Os -1.5757 5.3630 8.4563
Sc 2.5945 2.6910 2.7736
Sc -0.4185 1.7619 2.7351
Mo -0.8011 3.5142 5.4407


14.
4
Lattice="5.9987 0.0268 0.0000 3.0875 5.1433 0.0000 -4.5431 -2.5850 2.9434" Properties=species:S:1:pos:R:3 comment="AgTe2Mo (PBE, optimized geometry)" crystal_system=tetragonal volume_a3_per_cell=90.6 m_tot_mub_per_atom=0.652 formation_energy_uncorrected_ev_per_fu=2.3 space_group="I-4m2, No. 119" polymorph_energy_mev_per_atom=481 n_ef_per_ev_atom=0.69 pbc="T T T"
Ag 4.5431 2.5850 0.0000
Te 0.0000 0.0000 0.0000
Mo 2.9994 0.0134 1.4717
Te 1.5437 2.5716 1.4717


15.
10
Lattice="6.1063 0.1891 -0.9580 0.9767 7.5321 -5.6172 -1.6421 -2.3930 8.9913" Properties=species:S:1:pos:R:3 comment="Tb7Pm2Tm (PBE, optimized geometry)" crystal_system=triclinic volume_a3_per_cell=321.9 m_tot_mub_per_atom=0.000 space_group="P-1, No. 2" formation_enthalpy_0k_ev_per_fu=0.18 polymorph_energy_mev_per_atom=0 n_ef_per_ev_atom=1.45 pbc="T T T"
Pm 2.9544 5.4315 -0.1341
Tb 3.5415 3.8606 -3.2876
Tm 0.0000 0.0000 0.0000
Tb 6.5518 5.7363 -3.6603
Tb 2.4253 3.4610 2.7768
Pm 2.4865 -0.1034 2.5503
Tb 5.5117 1.7763 2.1841
Tb -0.0708 3.5518 0.2321
Tb 3.0156 1.8671 -0.3606
Tb -1.1110 -0.4082 6.0765


16.
4
Lattice="1.8951 0.0000 8.5111 -0.9476 1.6412 8.5111 -0.9476 -1.6412 8.5111" Properties=species:S:1:pos:R:3 comment="YS2F (PBE, optimized geometry)" crystal_system=trigonal volume_a3_per_cell=79.4 m_tot_mub_per_atom=0.000 formation_energy_uncorrected_ev_per_fu=1.2 space_group="R-3m, No. 166" polymorph_energy_mev_per_atom=1752 n_ef_per_ev_atom=1.34 pbc="T T T"
S 0.0000 0.0000 2.5382
F 0.0000 0.0000 12.7667
S 0.0000 0.0000 22.9952
Y 0.0000 0.0000 0.0000


17.
4
Lattice="-3.5633 -0.5054 -0.8864 -1.4248 -3.4209 -0.0709 -4.1908 -0.4565 9.3580" Properties=species:S:1:pos:R:3 comment="LuTh2Co (PBE, optimized geometry)" crystal_system=trigonal volume_a3_per_cell=119.4 m_tot_mub_per_atom=0.000 space_group="R-3m, No. 166" formation_enthalpy_0k_ev_per_fu=0.64 polymorph_energy_mev_per_atom=160 n_ef_per_ev_atom=1.34 pbc="T T T"
Lu 0.0000 0.0000 0.0000
Co -4.5894 -2.1914 4.2004
Th -5.8405 -3.6390 2.3054
Th -3.3384 -0.7438 6.0953


18.
8
Lattice="3.5557 0.0000 0.0000 0.0000 3.5557 0.0000 1.7778 1.7778 8.7798" Properties=species:S:1:pos:R:3 comment="TiNi2Rh (PBE, optimized geometry)" crystal_system=tetragonal volume_a3_per_cell=111.0 m_tot_mub_per_atom=0.000 space_group="I-42d, No. 122" formation_enthalpy_0k_ev_per_fu=-0.27 n_ef_per_ev_atom=1.23 pbc="T T T"
Ti 1.7778 3.5557 4.3899
Ni 2.6667 2.6603 6.5849
Ni 2.6732 0.8889 2.1950
Rh 0.0000 0.0000 0.0000
Ti 1.7778 1.7778 0.0000
Ni 4.4446 4.4511 6.5849
Rh 3.5557 1.7778 4.3899
Ni 0.8824 2.6667 2.1950


19.
4
Lattice="4.5880 0.0000 0.0000 2.2940 3.9733 0.0000 2.2940 1.3244 3.7461" Properties=species:S:1:pos:R:3 comment="Co2TeSe (PBE, optimized geometry)" crystal_system=cubic volume_a3_per_cell=68.3 m_tot_mub_per_atom=0.699 formation_energy_uncorrected_ev_per_fu=3.3 space_group="F-43m, No. 216" polymorph_energy_mev_per_atom=882 n_ef_per_ev_atom=1.84 pbc="T T T"
Te 6.8820 3.9733 2.8096
Se 4.5880 2.6489 1.8730
Co 2.2940 1.3244 0.9365
Co 0.0000 0.0000 0.0000


20.
11
Lattice="7.0442 -0.0038 -0.9592 0.0039 7.6544 0.0029 -1.3962 -0.0014 6.9708" Properties=species:S:1:pos:R:3 comment="La7Ag2Hg2 (PBE, optimized geometry)" crystal_system=orthorhombic volume_a3_per_cell=365.6 m_tot_mub_per_atom=0.000 space_group="Cmmm, No. 65" formation_enthalpy_0k_ev_per_fu=-0.74 n_ef_per_ev_atom=1.34 pbc="T T T"
La 3.5228 2.2430 -0.4786
Ag 1.0186 -0.0020 4.7020
Ag 4.6333 7.6513 1.3125
La 6.3470 2.2404 2.5275
La 2.1291 5.4063 6.4931
Hg 4.6806 3.8229 4.9813
Hg 0.9712 3.8263 1.0332
La 2.8263 5.6231 3.0084
La 2.8256 2.0262 3.0060
La -0.6952 5.4089 3.4870
La 0.0000 0.0000 0.0000


21.
16
Lattice="5.4800 0.1374 -0.0717 -1.4683 5.2814 -0.0717 -1.7522 -2.3668 6.6162" Properties=species:S:1:pos:R:3 comment="NaTcPO5 (PBE, optimized geometry)" crystal_system=monoclinic volume_a3_per_cell=191.0 m_tot_mub_per_atom=0.126 formation_energy_uncorrected_ev_per_fu=-15.0 space_group="C2/c, No. 15" n_ef_per_ev_atom=0.38 pbc="T T T"
Tc 0.0000 0.0000 0.0000
O -1.8658 1.5506 5.6932
O 1.6155 1.1540 0.6022
O 3.7751 -1.3484 4.8905
O 0.6440 1.8981 5.8706
P -0.5602 1.8612 4.8905
Tc -0.8761 -1.1834 3.3081
O -0.2440 0.6986 3.9103
O 2.5035 2.3534 2.5625
Na 1.8888 0.0481 4.8905
O 2.9038 -0.1486 2.3851
Na 0.3707 3.0039 1.5824
O -0.6443 3.2006 4.0878
O -1.5156 4.4005 1.5824
P 2.8198 1.1908 1.5824
O 4.1254 1.5014 0.7797


22.
12
Lattice="-4.0675 3.0470 -3.4092 -1.6533 -5.1202 2.9158 0.5598 3.3983 4.1744" Properties=species:S:1:pos:R:3 comment="Li3SmPa2N6 (PBE, optimized geometry)" crystal_system=monoclinic volume_a3_per_cell=162.6 m_tot_mub_per_atom=0.000 formation_energy_uncorrected_ev_per_fu=-11.9 space_group="C2/m, No. 12" n_ef_per_ev_atom=0.72 pbc="T T T"
Pa -2.4592 -2.3936 0.8043
N -3.4187 -0.3597 3.9921
Li -1.8032 -1.9667 3.8767
N -1.1731 2.0488 3.0933
N -1.7422 1.6849 -0.3111
Pa -3.2615 0.3204 -1.2976
Sm 0.0000 0.0000 0.0000
N -4.2740 2.5337 1.7513
N -0.8869 -1.2086 1.9297
Li -2.5805 0.6626 1.8405
Li -3.3577 3.2919 -0.1957
N -3.9878 -0.7237 0.5877


23.
5
Lattice="-0.5384 -0.7204 -4.0820 -1.6843 -3.7231 0.8792 -3.7874 1.7581 0.1893" Properties=species:S:1:pos:R:3 comment="LiBP3 (PBE, optimized geometry)" crystal_system=cubic volume_a3_per_cell=73.0 m_tot_mub_per_atom=0.000 space_group="Pm-3m, No. 221" formation_enthalpy_0k_ev_per_fu=3.20 polymorph_energy_mev_per_atom=0 n_ef_per_ev_atom=0.60 pbc="T T T"
P -1.8937 0.8790 0.0947
P -0.8421 -1.8616 0.4396
P -0.2692 -0.3602 -2.0410
Li -3.0051 -1.3427 -1.5067
B 0.0000 0.0000 0.0000


24.
13
Lattice="-0.4365 -6.8143 1.0854 3.8280 0.8844 7.0918 -7.6440 2.7383 -0.8496" Properties=species:S:1:pos:R:3 comment="Ho2Tm3Se8 (PBE, optimized geometry)" crystal_system=monoclinic volume_a3_per_cell=374.8 m_tot_mub_per_atom=0.000 formation_energy_uncorrected_ev_per_fu=-22.1 space_group="C2/m, No. 12" n_ef_per_ev_atom=0.48 pbc="T T T"
Se -2.5018 2.3399 5.6928
Tm 2.8295 0.6537 5.2421
Se -4.4018 1.8065 2.1507
Se 0.1494 -4.9981 5.1768
Tm -0.2182 -3.4071 0.5427
Ho -3.0962 -0.6554 1.7530
Se -3.5884 -1.3669 4.5186
Se -5.5802 -1.8271 0.8287
Se 1.3277 -1.3645 6.4989
Tm 0.9984 0.2307 1.8497
Se -0.6641 -1.8247 2.8089
Se -1.7507 -5.5315 1.6348
Ho -1.1563 -2.5363 5.5746


25.
4
Lattice="-3.7085 -2.4902 -2.8620 1.0311 -4.7541 -2.1166 -2.3738 -4.3342 1.9300" Properties=species:S:1:pos:R:3 comment="AcThGaPt (PBE, optimized geometry)" crystal_system=cubic volume_a3_per_cell=105.6 m_tot_mub_per_atom=0.000 space_group="F-43m, No. 216" formation_enthalpy_0k_ev_per_fu=-2.38 n_ef_per_ev_atom=0.83 pbc="T T T"
Th 0.0000 0.0000 0.0000
Ac -2.5256 -5.7892 -1.5243
Ga -1.2628 -2.8946 -0.7621
Pt -3.7884 -8.6838 -2.2864


26.
5
Lattice="-0.2112 -2.6530 -4.5011 -4.3685 -2.3814 1.6086 -2.8660 3.8254 -2.1202" Properties=species:S:1:pos:R:3 comment="ReAg3Br (PBE, optimized geometry)" crystal_system=cubic volume_a3_per_cell=143.0 m_tot_mub_per_atom=0.573 formation_energy_uncorrected_ev_per_fu=7.5 space_group="Pm-3m, No. 221" polymorph_energy_mev_per_atom=0 n_ef_per_ev_atom=0.52 pbc="T T T"
Br -3.7229 -0.6045 -2.5064
Ag -2.1843 -1.1907 0.8043
Re 0.0000 0.0000 0.0000
Ag -1.4330 1.9127 -1.0601
Ag -0.1056 -1.3265 -2.2506


27.
5
Lattice="-1.5210 -3.1189 -2.3601 3.2632 -2.0946 0.6650 -3.3340 0.2588 5.5377" Properties=species:S:1:pos:R:3 comment="PmMgGeIr2 (PBE, optimized geometry)" crystal_system=orthorhombic volume_a3_per_cell=95.7 m_tot_mub_per_atom=0.000 space_group="Imm2, No. 44" formation_enthalpy_0k_ev_per_fu=-2.84 n_ef_per_ev_atom=0.64 pbc="T T T"
Ir -1.7098 -2.4644 0.6277
Pm -2.2243 -2.1205 4.2359
Mg 0.6874 -1.9475 2.1307
Ge -0.7661 -4.1676 2.2702
Ir -0.2157 -0.2056 0.4108